Record 1
# Co2CuAu GGA-PBE optimized geometry
data_Co2CuAu
_chemical_formula_sum 'Co4 Cu2 Au2'
_cell_length_a 5.120
_cell_length_b 7.723
_cell_length_c 2.689
_cell_angle_alpha 90.00
_cell_angle_beta 90.00
_cell_angle_gamma 90.00
_space_group_name_H-M_alt 'C m m m'
_space_group_IT_number 65
_space_group_name_Hall '-C 2 2'
loop_
_atom_site_label
_atom_site_fract_x
_atom_site_fract_y
_atom_site_fract_z
_atom_site_occupancy
Co1 0.250 0.250 0.000 1
Cu1 0.000 0.000 0.500 1
Au1 0.000 0.500 0.500 1
# - DOS(E_F): 4.20 states/eV/f.u.
# - V: 13.29 Å³/atom
# - Energy of formation: 0.263 eV per atom
# - Total moment: 7.04 Bohr magnetons per cell

***

Record 2
# HfMgZrGa GGA-PBE optimized geometry
data_HfMgZrGa
_chemical_formula_sum 'Hf4 Mg4 Zr4 Ga4'
_cell_length_a 6.815
_cell_length_b 6.815
_cell_length_c 6.815
_cell_angle_alpha 90.00
_cell_angle_beta 90.00
_cell_angle_gamma 90.00
_space_group_name_H-M_alt 'F -4 3 m'
_space_group_IT_number 216
_space_group_name_Hall 'F -4 2 3'
loop_
_atom_site_label
_atom_site_fract_x
_atom_site_fract_y
_atom_site_fract_z
_atom_site_occupancy
Hf1 0.000 0.000 0.000 1
Mg1 0.250 0.250 0.250 1
Zr1 0.000 0.000 0.500 1
Ga1 0.250 0.250 0.750 1
# - DOS(E_F): 3.21 states/eV/f.u.
# - V: 19.78 Å³/atom
# - Energy of formation: -0.117 eV per atom
# - Total moment: 0.00 Bohr magnetons per cell

***

Record 3
# K2SbIr3O12 GGA-PBE optimized geometry
data_K2SbIr3O12
_chemical_formula_sum 'K6 Sb3 Ir9 O36'
_cell_length_a 7.2146
_cell_length_b 7.2146
_cell_length_c 17.7737
_cell_angle_alpha 90.00
_cell_angle_beta 90.00
_cell_angle_gamma 120.00
_space_group_name_H-M_alt 'R -3 m'
_space_group_IT_number 166
_space_group_name_Hall '-R 3 2"'
loop_
_atom_site_label
_atom_site_fract_x
_atom_site_fract_y
_atom_site_fract_z
_atom_site_occupancy
K1 0.0000 0.0000 0.1287 1
Sb1 0.0000 0.0000 0.5000 1
Ir1 0.0000 0.5000 0.0000 1
O1 0.0549 0.5274 0.1093 1
O2 0.0722 0.5361 0.3499 1
# - Formation energy from raw total energies: -0.99 eV/atom
# - DOS(E_F): 14.18 states/eV/f.u.
# - V: 14.84 Å³/atom
# - Total moment: 5.86 Bohr magnetons per cell

***

Record 4
# ScP2Pt GGA-PBE optimized geometry
data_ScP2Pt
_chemical_formula_sum 'Sc1 P2 Pt1'
_cell_length_a 2.869
_cell_length_b 3.437
_cell_length_c 6.398
_cell_angle_alpha 90.00
_cell_angle_beta 90.00
_cell_angle_gamma 90.00
_space_group_name_H-M_alt 'P m m m'
_space_group_IT_number 47
loop_
_space_group_symop_operation_xyz
'x,y,z'
'-x,-y,-z'
'-x,-y,z'
'x,y,-z'
'x,-y,-z'
'-x,y,z'
'-x,y,-z'
'x,-y,z'
loop_
_atom_site_label
_atom_site_fract_x
_atom_site_fract_y
_atom_site_fract_z
_atom_site_occupancy
Sc1 0.000 0.000 0.000 1
P1 0.500 0.500 0.251 1
Pt1 0.000 0.000 0.500 1
# - Offset from the most stable computed form: 0.5607 eV/atom
# - DOS(E_F): 3.10 states/eV/f.u.
# - V: 15.77 Å³/atom
# - Energy of formation: -0.315 eV per atom
# - Total moment: 0.00 Bohr magnetons per cell

***

Record 5
# GaCo2NiH GGA-PBE optimized geometry
data_GaCo2NiH
_chemical_formula_sum 'Ga1 Co2 Ni1 H1'
_cell_length_a 3.619
_cell_length_b 3.619
_cell_length_c 3.644
_cell_angle_alpha 90.00
_cell_angle_beta 90.00
_cell_angle_gamma 90.00
_space_group_name_H-M_alt 'P 4/m m m'
_space_group_IT_number 123
_space_group_name_Hall '-P 4 2'
loop_
_atom_site_label
_atom_site_fract_x
_atom_site_fract_y
_atom_site_fract_z
_atom_site_occupancy
Ga1 0.000 0.000 0.000 1
Co1 0.000 0.500 0.500 1
Ni1 0.500 0.500 0.000 1
H1 0.500 0.500 0.500 1
# - Offset from the most stable computed form: 0.0000 eV/atom
# - DOS(E_F): 5.02 states/eV/f.u.
# - V: 9.54 Å³/atom
# - Total moment: 1.98 Bohr magnetons per cell

***

Record 6
# PmEr2Al2Ga2 GGA-PBE optimized geometry
data_PmEr2Al2Ga2
_chemical_formula_sum 'Pm3 Er6 Al6 Ga6'
_cell_length_a 4.3901
_cell_length_b 4.3901
_cell_length_c 29.4434
_cell_angle_alpha 90.00
_cell_angle_beta 90.00
_cell_angle_gamma 120.00
_space_group_name_H-M_alt 'R -3 m'
_space_group_IT_number 166
_space_group_name_Hall '-R 3 2"'
loop_
_atom_site_label
_atom_site_fract_x
_atom_site_fract_y
_atom_site_fract_z
_atom_site_occupancy
Pm1 0.0000 0.0000 0.0000 1
Er1 0.0000 0.0000 0.1291 1
Al1 0.0000 0.0000 0.3979 1
Ga1 0.0000 0.0000 0.2546 1
# - DOS(E_F): 5.37 states/eV/f.u.
# - V: 23.40 Å³/atom
# - Energy of formation: -0.388 eV per atom
# - Total moment: 0.00 Bohr magnetons per cell

***

Record 7
# Cu5Ni2Rh GGA-PBE optimized geometry
data_Cu5Ni2Rh
_chemical_formula_sum 'Cu10 Ni4 Rh2'
_cell_length_a 5.173
_cell_length_b 10.311
_cell_length_c 3.592
_cell_angle_alpha 90.00
_cell_angle_beta 90.00
_cell_angle_gamma 90.00
_space_group_name_H-M_alt 'P b a m'
_space_group_IT_number 55
loop_
_space_group_symop_operation_xyz
'x,y,z'
'-x,-y,-z'
'-x,-y,z'
'x,y,-z'
'x+1/2,-y+1/2,-z'
'-x+1/2,y+1/2,z'
'-x+1/2,y+1/2,-z'
'x+1/2,-y+1/2,z'
loop_
_atom_site_label
_atom_site_fract_x
_atom_site_fract_y
_atom_site_fract_z
_atom_site_occupancy
Cu1 0.000 0.000 0.000 1
Cu2 0.005 0.249 0.000 1
Cu3 0.240 0.872 0.500 1
Ni1 0.245 0.625 0.500 1
Rh1 0.000 0.500 0.000 1
# - Offset from the most stable computed form: 0.0000 eV/atom
# - DOS(E_F): 10.15 states/eV/f.u.
# - V: 11.97 Å³/atom
# - Energy of formation: 0.037 eV per atom
# - Total moment: 1.46 Bohr magnetons per cell

***

Record 8
# TiBiAu2S GGA-PBE optimized geometry
data_TiBiAu2S
_chemical_formula_sum 'Ti1 Bi1 Au2 S1'
_cell_length_a 5.202
_cell_length_b 5.202
_cell_length_c 5.472
_cell_angle_alpha 90.00
_cell_angle_beta 90.00
_cell_angle_gamma 90.00
_space_group_name_H-M_alt 'P 4/m m m'
_space_group_IT_number 123
_space_group_name_Hall '-P 4 2'
loop_
_atom_site_label
_atom_site_fract_x
_atom_site_fract_y
_atom_site_fract_z
_atom_site_occupancy
Ti1 0.000 0.000 0.000 1
Bi1 0.000 0.000 0.500 1
Au1 0.000 0.500 0.500 1
S1 0.500 0.500 0.000 1
# - Formation energy from raw total energies: 1.02 eV/atom
# - DOS(E_F): 9.53 states/eV/f.u.
# - V: 29.61 Å³/atom
# - Total moment: 0.00 Bohr magnetons per cell

***

Record 9
# Pr12Y7Zr GGA-PBE optimized geometry
data_Pr12Y7Zr
_chemical_formula_sum 'Pr36 Y21 Zr3'
_cell_length_a 19.7816
_cell_length_b 19.7816
_cell_length_c 6.2520
_cell_angle_alpha 90.00
_cell_angle_beta 90.00
_cell_angle_gamma 120.00
_space_group_name_H-M_alt 'R -3'
_space_group_IT_number 148
_space_group_name_Hall '-R 3'
loop_
_atom_site_label
_atom_site_fract_x
_atom_site_fract_y
_atom_site_fract_z
_atom_site_occupancy
Pr1 0.0003 0.4120 0.0004 1
Pr2 0.0970 0.5489 0.4734 1
Y1 0.0000 0.0000 0.0000 1
Y2 0.0798 0.9192 0.3014 1
Zr1 0.0000 0.0000 0.5000 1
# - DOS(E_F): 31.32 states/eV/f.u.
# - V: 35.31 Å³/atom
# - Energy of formation: 0.214 eV per atom
# - Total moment: 1.70 Bohr magnetons per cell

***

Record 10
# PrErZr GGA-PBE optimized geometry
data_PrErZr
_chemical_formula_sum 'Pr2 Er2 Zr2'
_cell_length_a 3.411
_cell_length_b 4.783
_cell_length_c 10.882
_cell_angle_alpha 90.00
_cell_angle_beta 98.96
_cell_angle_gamma 90.00
_space_group_name_H-M_alt 'P 1 21/m 1'
_space_group_IT_number 11
loop_
_space_group_symop_operation_xyz
'x,y,z'
'-x,-y,-z'
'-x,y+1/2,-z'
'x,-y+1/2,z'
loop_
_atom_site_label
_atom_site_fract_x
_atom_site_fract_y
_atom_site_fract_z
_atom_site_occupancy
Pr1 0.053 0.250 0.102 1
Er1 0.360 0.250 0.723 1
Zr1 0.216 0.250 0.431 1
# - Offset from the most stable computed form: 0.0249 eV/atom
# - DOS(E_F): 3.77 states/eV/f.u.
# - V: 29.23 Å³/atom
# - Energy of formation: 0.131 eV per atom
# - Total moment: 0.00 Bohr magnetons per cell

***

Record 11
# Fe4Pd3Pt2 GGA-PBE optimized geometry
data_Fe4Pd3Pt2
_chemical_formula_sum 'Fe8 Pd6 Pt4'
_cell_length_a 8.460
_cell_length_b 3.869
_cell_length_c 8.113
_cell_angle_alpha 90.00
_cell_angle_beta 106.52
_cell_angle_gamma 90.00
_space_group_name_H-M_alt 'C 1 2/m 1'
_space_group_IT_number 12
loop_
_space_group_symop_operation_xyz
'x,y,z'
'-x,-y,-z'
'-x,y,-z'
'x,-y,z'
'x+1/2,y+1/2,z'
'-x+1/2,-y+1/2,-z'
'-x+1/2,y+1/2,-z'
'x+1/2,-y+1/2,z'
loop_
_atom_site_label
_atom_site_fract_x
_atom_site_fract_y
_atom_site_fract_z
_atom_site_occupancy
Fe1 0.001 0.000 0.332 1
Fe2 0.168 0.500 0.892 1
Pd1 0.000 0.000 0.000 1
Pd2 0.165 0.500 0.561 1
Pt1 0.168 0.500 0.216 1
# - DOS(E_F): 6.90 states/eV/f.u.
# - V: 14.14 Å³/atom
# - Energy of formation: -0.139 eV per atom
# - Total moment: 27.22 Bohr magnetons per cell

***

Record 12
# LaMgCo2 GGA-PBE optimized geometry
data_LaMgCo2
_chemical_formula_sum 'La3 Mg3 Co6'
_cell_length_a 3.4286
_cell_length_b 3.4286
_cell_length_c 22.0477
_cell_angle_alpha 90.00
_cell_angle_beta 90.00
_cell_angle_gamma 120.00
_space_group_name_H-M_alt 'R -3 m'
_space_group_IT_number 166
_space_group_name_Hall '-R 3 2"'
loop_
_atom_site_label
_atom_site_fract_x
_atom_site_fract_y
_atom_site_fract_z
_atom_site_occupancy
La1 0.0000 0.0000 0.0000 1
Mg1 0.0000 0.0000 0.5000 1
Co1 0.0000 0.0000 0.2483 1
# - DOS(E_F): 4.71 states/eV/f.u.
# - V: 18.70 Å³/atom
# - Energy of formation: 0.459 eV per atom
# - Total moment: 3.90 Bohr magnetons per cell

***

Record 13
# K4SeI2 GGA-PBE optimized geometry
data_K4SeI2
_chemical_formula_sum 'K8 Se2 I4'
_cell_length_a 6.153
_cell_length_b 6.153
_cell_length_c 18.303
_cell_angle_alpha 90.00
_cell_angle_beta 90.00
_cell_angle_gamma 90.00
_space_group_name_H-M_alt 'I 4/m m m'
_space_group_IT_number 139
_space_group_name_Hall '-I 4 2'
loop_
_atom_site_label
_atom_site_fract_x
_atom_site_fract_y
_atom_site_fract_z
_atom_site_occupancy
K1 0.000 0.000 0.170 1
K2 0.000 0.500 0.000 1
Se1 0.000 0.000 0.000 1
I1 0.000 0.000 0.358 1
# - Formation energy from raw total energies: -1.23 eV/atom
# - Offset from the most stable computed form: 0.0312 eV/atom
# - V: 49.50 Å³/atom
# - Total moment: 0.00 Bohr magnetons per cell

***

Record 14
# SrMnFe2 GGA-PBE optimized geometry
data_SrMnFe2
_chemical_formula_sum 'Sr1 Mn1 Fe2'
_cell_length_a 3.219
_cell_length_b 3.219
_cell_length_c 7.238
_cell_angle_alpha 90.00
_cell_angle_beta 90.00
_cell_angle_gamma 90.00
_space_group_name_H-M_alt 'P 4 m m'
_space_group_IT_number 99
loop_
_space_group_symop_operation_xyz
'x,y,z'
'-y,x,z'
'-x,-y,z'
'y,-x,z'
'-x,y,z'
'y,x,z'
'x,-y,z'
'-y,-x,z'
loop_
_atom_site_label
_atom_site_fract_x
_atom_site_fract_y
_atom_site_fract_z
_atom_site_occupancy
Sr1 0.000 0.000 0.000 1
Mn1 0.500 0.500 0.655 1
Fe1 0.000 0.000 0.457 1
Fe2 0.500 0.500 0.315 1
# - DOS(E_F): 3.67 states/eV/f.u.
# - V: 18.75 Å³/atom
# - Energy of formation: 0.548 eV per atom
# - Total moment: 8.96 Bohr magnetons per cell

***

Record 15
# CaTlAuSe GGA-PBE optimized geometry
data_CaTlAuSe
_chemical_formula_sum 'Ca1 Tl1 Au1 Se1'
_cell_length_a 3.901
_cell_length_b 3.823
_cell_length_c 7.384
_cell_angle_alpha 90.00
_cell_angle_beta 105.45
_cell_angle_gamma 90.00
_space_group_name_H-M_alt 'P 1 m 1'
_space_group_IT_number 6
loop_
_space_group_symop_operation_xyz
'x,y,z'
'x,-y,z'
loop_
_atom_site_label
_atom_site_fract_x
_atom_site_fract_y
_atom_site_fract_z
_atom_site_occupancy
Ca1 0.000 0.000 0.000 1
Tl1 0.753 0.000 0.512 1
Au1 0.360 0.500 0.726 1
Se1 0.576 0.500 0.150 1
# - Formation energy from raw total energies: -0.78 eV/atom
# - Offset from the most stable computed form: 0.0664 eV/atom
# - DOS(E_F): 0.68 states/eV/f.u.
# - V: 26.53 Å³/atom
# - Total moment: 0.00 Bohr magnetons per cell

***

Record 16
# SiSbRh2Pb GGA-PBE optimized geometry
data_SiSbRh2Pb
_chemical_formula_sum 'Si1 Sb1 Rh2 Pb1'
_cell_length_a 4.574
_cell_length_b 4.574
_cell_length_c 5.228
_cell_angle_alpha 90.00
_cell_angle_beta 90.00
_cell_angle_gamma 90.00
_space_group_name_H-M_alt 'P 4/m m m'
_space_group_IT_number 123
_space_group_name_Hall '-P 4 2'
loop_
_atom_site_label
_atom_site_fract_x
_atom_site_fract_y
_atom_site_fract_z
_atom_site_occupancy
Si1 0.000 0.000 0.000 1
Sb1 0.000 0.000 0.500 1
Rh1 0.000 0.500 0.000 1
Pb1 0.500 0.500 0.500 1
# - Formation energy from raw total energies: 0.28 eV/atom
# - DOS(E_F): 5.66 states/eV/f.u.
# - V: 21.88 Å³/atom
# - Total moment: 0.00 Bohr magnetons per cell

***

Record 17
# IrPd GGA-PBE optimized geometry
data_IrPd
_chemical_formula_sum 'Ir1 Pd1'
_cell_length_a 2.7548
_cell_length_b 2.7548
_cell_length_c 4.5348
_cell_angle_alpha 90.00
_cell_angle_beta 90.00
_cell_angle_gamma 120.00
_space_group_name_H-M_alt 'P -6 m 2'
_space_group_IT_number 187
_space_group_name_Hall 'P -6 2'
loop_
_atom_site_label
_atom_site_fract_x
_atom_site_fract_y
_atom_site_fract_z
_atom_site_occupancy
Ir1 0.0000 0.0000 0.0000 1
Pd1 0.3333 0.6667 0.5000 1
# - DOS(E_F): 3.51 states/eV/f.u.
# - V: 14.90 Å³/atom
# - Energy of formation: 0.180 eV per atom
# - Total moment: 0.00 Bohr magnetons per cell

***

Record 18
# Sr2GeBPt6 GGA-PBE optimized geometry
data_Sr2GeBPt6
_chemical_formula_sum 'Sr4 Ge2 B2 Pt12'
_cell_length_a 5.924
_cell_length_b 5.924
_cell_length_c 10.665
_cell_angle_alpha 90.00
_cell_angle_beta 90.00
_cell_angle_gamma 90.00
_space_group_name_H-M_alt 'I 4 m m'
_space_group_IT_number 107
_space_group_name_Hall 'I 4 -2'
loop_
_atom_site_label
_atom_site_fract_x
_atom_site_fract_y
_atom_site_fract_z
_atom_site_occupancy
Sr1 0.000 0.500 0.000 1
Ge1 0.000 0.000 0.352 1
B1 0.000 0.000 0.857 1
Pt1 0.000 0.000 0.054 1
Pt2 0.000 0.000 0.573 1
Pt3 0.236 0.236 0.753 1
# - DOS(E_F): 3.53 states/eV/f.u.
# - V: 18.71 Å³/atom
# - Energy of formation: -0.672 eV per atom
# - Total moment: 0.00 Bohr magnetons per cell

***

Record 19
# DyPaTl2O6 GGA-PBE optimized geometry
data_DyPaTl2O6
_chemical_formula_sum 'Dy2 Pa2 Tl4 O12'
_cell_length_a 10.416
_cell_length_b 6.238
_cell_length_c 6.025
_cell_angle_alpha 90.00
_cell_angle_beta 125.27
_cell_angle_gamma 90.00
_space_group_name_H-M_alt 'C 1 2/m 1'
_space_group_IT_number 12
loop_
_space_group_symop_operation_xyz
'x,y,z'
'-x,-y,-z'
'-x,y,-z'
'x,-y,z'
'x+1/2,y+1/2,z'
'-x+1/2,-y+1/2,-z'
'-x+1/2,y+1/2,-z'
'x+1/2,-y+1/2,z'
loop_
_atom_site_label
_atom_site_fract_x
_atom_site_fract_y
_atom_site_fract_z
_atom_site_occupancy
Dy1 0.000 0.000 0.000 1
Pa1 0.000 0.500 0.500 1
Tl1 0.248 0.000 0.722 1
O1 0.070 0.253 0.325 1
O2 0.242 0.500 0.863 1
# - Formation energy from raw total energies: -2.29 eV/atom
# - DOS(E_F): 5.46 states/eV/f.u.
# - V: 15.98 Å³/atom
# - Total moment: 0.00 Bohr magnetons per cell

***

Record 20
# K2AsAuCl6 GGA-PBE optimized geometry
data_K2AsAuCl6
_chemical_formula_sum 'K8 As4 Au4 Cl24'
_cell_length_a 10.381
_cell_length_b 10.381
_cell_length_c 10.381
_cell_angle_alpha 90.00
_cell_angle_beta 90.00
_cell_angle_gamma 90.00
_space_group_name_H-M_alt 'F m -3 m'
_space_group_IT_number 225
_space_group_name_Hall '-F 4 2 3'
loop_
_atom_site_label
_atom_site_fract_x
_atom_site_fract_y
_atom_site_fract_z
_atom_site_occupancy
K1 0.250 0.250 0.250 1
As1 0.000 0.000 0.000 1
Au1 0.000 0.000 0.500 1
Cl1 0.000 0.000 0.243 1
# - Formation energy from raw total energies: -1.03 eV/atom
# - Offset from the most stable computed form: 0.0721 eV/atom
# - DOS(E_F): 0.17 states/eV/f.u.
# - V: 27.97 Å³/atom
# - Total moment: 0.00 Bohr magnetons per cell